The following is a GGA+U calculation of an optimized crystal structure of CsErMnO3, from the Alexandria database.

Results
ρ in g cm⁻³: 5.46
Total DFT energy (no corrections) in eV/atom: -6.893

a = 3.5566 Å, b = 7.3505 Å, c = 11.0958 Å
α = 122.29°, β = 90.00°, γ = 90.00°
Atoms (fractional coordinates):
Cs: 0.7500 0.6896 0.7653
Cs: 0.2500 0.3104 0.2347
Er: 0.2500 0.7017 0.1356
Er: 0.7500 0.2983 0.8644
Mn: 0.2500 0.9924 0.6002
Mn: 0.7500 0.0076 0.3998
O: 0.2500 0.8303 0.3821
O: 0.7500 0.9403 0.1993
O: 0.7500 0.4781 0.0969
O: 0.7500 0.1697 0.6179
O: 0.2500 0.5219 0.9031
O: 0.2500 0.0597 0.8007